Material: Rb2MoI2F4
Method: DFT, PBE with a Hubbard U
State: optimized geometry

a = 7.376 Å, b = 7.376 Å, c = 9.724 Å
α = 90.00°, β = 90.00°, γ = 90.00°
Space group I4/mmm (No. 139)
One atom of each set of equivalent atoms:
Rb 0.000 0.500 0.250 [4 per cell]
Mo 0.000 0.000 0.000 [2 per cell]
I 0.000 0.000 0.293 [4 per cell]
F 0.190 0.190 0.000 [8 per cell]

electronic total energy	-4.25	eV per atom